# 1
Entry from Alexandria via LeMat-Bulk: crystalline Ge2PdBr2 at its relaxed geometry (GGA-PBE).

Geometry as POSCAR:
```
Ge2PdBr2
1.0
7.068 0.000 0.000
0.000 7.068 0.000
0.000 0.000 5.095
Ge Pd Br
4 2 4
Cartesian
1.688 1.846 0.000
1.846 5.381 0.000
5.222 1.688 0.000
5.381 5.222 0.000
0.000 0.000 0.000
3.534 3.534 0.000
1.239 4.773 2.548
2.295 1.239 2.548
4.773 5.830 2.548
5.830 2.295 2.548
```

Values from the calculation:
Space-group type: P4/mbm
Formation energy from raw total energies: -0.38 eV per formula unit

---

# 2
Entry from Alexandria via LeMat-Bulk: crystalline HgMo3 at its relaxed geometry (GGA-PBE).

Geometry as POSCAR:
```
HgMo3
1.0
2.779 0.000 0.000
0.000 4.362 0.000
-0.869 0.000 5.653
Hg Mo
1 3
Cartesian
0.000 0.000 0.000
-0.434 0.000 2.827
0.567 2.181 4.075
1.344 2.181 1.579
```

Values from the calculation:
Space-group type: P2/m
Raw total energy: -7.790 eV/atom

---

# 3
Entry from Alexandria via LeMat-Bulk: crystalline Al3H7O at its relaxed geometry (GGA-PBE).

Geometry as POSCAR:
```
Al3H7O
1.0
4.695 -2.711 0.000
4.695 2.711 0.000
-4.126 0.000 4.916
Al H O
3 7 1
Cartesian
0.000 0.000 0.000
2.289 1.323 0.013
2.289 -1.323 0.013
-0.341 1.505 4.102
5.502 1.474 0.992
2.958 0.000 1.001
-0.341 -1.505 4.102
2.268 0.000 4.109
7.794 0.000 1.042
5.502 -1.474 0.992
-2.594 0.000 3.903
```

Values from the calculation:
Space-group type: Cm
Raw total energy: -4.007 eV/atom